[1]
Sm4AsAuSe2: relaxed, GGA-PBE.

```
data_Sm4AsAuSe2
_symmetry_space_group_name_H-M 'P 1 2/m 1'
_symmetry_Int_Tables_number 10
_symmetry_space_group_name_Hall '-P 2y'
_cell_length_a 7.318
_cell_length_b 4.164
_cell_length_c 7.339
_cell_angle_alpha 90.00
_cell_angle_beta 108.81
_cell_angle_gamma 90.00
loop_
_atom_site_label
_atom_site_type_symbol
_atom_site_fract_x
_atom_site_fract_y
_atom_site_fract_z
Sm1 Sm 0.242 0.000 0.246
Sm2 Sm 0.246 0.500 0.749
As1 As 0.000 0.500 0.000
Au1 Au 0.500 0.000 0.000
Se1 Se 0.000 0.000 0.500
Se2 Se 0.500 0.500 0.500
```

Output
Total DFT energy (no corrections): -5.706 eV per atom
Formation energy from raw total energies: -1484 meV/atom
Crystal system: monoclinic



[2]
Sm4As2AuSe: relaxed, GGA-PBE.

```
data_Sm4As2AuSe
_symmetry_space_group_name_H-M 'P 1 2/m 1'
_symmetry_Int_Tables_number 10
_symmetry_space_group_name_Hall '-P 2y'
_cell_length_a 7.283
_cell_length_b 4.203
_cell_length_c 7.353
_cell_angle_alpha 90.00
_cell_angle_beta 108.97
_cell_angle_gamma 90.00
loop_
_atom_site_label
_atom_site_type_symbol
_atom_site_fract_x
_atom_site_fract_y
_atom_site_fract_z
Sm1 Sm 0.238 0.000 0.242
Sm2 Sm 0.239 0.500 0.750
As1 As 0.000 0.000 0.500
As2 As 0.000 0.500 0.000
Au1 Au 0.500 0.500 0.500
Se1 Se 0.500 0.000 0.000
```

Output
Total DFT energy (no corrections): -5.775 eV per atom
Formation energy from raw total energies: -1408 meV/atom
Crystal system: monoclinic



[3]
SnAs2AuSe: relaxed, GGA-PBE.

```
data_SnAs2AuSe
_symmetry_space_group_name_H-M 'P 4/m m m'
_symmetry_Int_Tables_number 123
_symmetry_space_group_name_Hall '-P 4 2'
_cell_length_a 5.017
_cell_length_b 5.017
_cell_length_c 5.272
_cell_angle_alpha 90.00
_cell_angle_beta 90.00
_cell_angle_gamma 90.00
loop_
_atom_site_label
_atom_site_type_symbol
_atom_site_fract_x
_atom_site_fract_y
_atom_site_fract_z
Sn1 Sn 0.000 0.000 0.000
As1 As 0.000 0.500 0.500
Au1 Au 0.500 0.500 0.500
Se1 Se 0.500 0.500 0.000
```

Output
Total DFT energy (no corrections): -3.435 eV per atom
Formation energy from raw total energies: 578 meV/atom
Polymorph energy (0 for the lowest one): 0.0 meV per atom
Crystal system: tetragonal



[4]
SrAs2AuSe: relaxed, GGA-PBE.

```
data_SrAs2AuSe
_symmetry_space_group_name_H-M 'P 4/m m m'
_symmetry_Int_Tables_number 123
_symmetry_space_group_name_Hall '-P 4 2'
_cell_length_a 5.707
_cell_length_b 5.707
_cell_length_c 5.583
_cell_angle_alpha 90.00
_cell_angle_beta 90.00
_cell_angle_gamma 90.00
loop_
_atom_site_label
_atom_site_type_symbol
_atom_site_fract_x
_atom_site_fract_y
_atom_site_fract_z
Sr1 Sr 0.000 0.000 0.000
As1 As 0.000 0.500 0.000
Au1 Au 0.500 0.500 0.500
Se1 Se 0.000 0.000 0.500
```

Output
Total DFT energy (no corrections): -2.554 eV per atom
Formation energy from raw total energies: 994 meV/atom
Polymorph energy (0 for the lowest one): 1112.5 meV per atom
Crystal system: tetragonal



[5]
SrAsAu2Se4: relaxed, GGA-PBE.

```
data_SrAsAu2Se4
_symmetry_space_group_name_H-M 'I 2 2 2'
_symmetry_Int_Tables_number 23
_symmetry_space_group_name_Hall 'I 2 2'
_cell_length_a 6.681
_cell_length_b 7.988
_cell_length_c 8.376
_cell_angle_alpha 90.00
_cell_angle_beta 90.00
_cell_angle_gamma 90.00
loop_
_atom_site_label
_atom_site_type_symbol
_atom_site_fract_x
_atom_site_fract_y
_atom_site_fract_z
Sr1 Sr 0.000 0.000 0.000
As1 As 0.000 0.500 0.000
Au1 Au 0.000 0.192 0.500
Se1 Se 0.204 0.311 0.822
```

Output
Total DFT energy (no corrections): -3.848 eV per atom
Formation energy from raw total energies: -495 meV/atom
Crystal system: orthorhombic



[6]
SrAs2AuSe: relaxed, GGA-PBE.

```
data_SrAs2AuSe
_symmetry_space_group_name_H-M 'P 4/m m m'
_symmetry_Int_Tables_number 123
_symmetry_space_group_name_Hall '-P 4 2'
_cell_length_a 5.045
_cell_length_b 5.045
_cell_length_c 5.382
_cell_angle_alpha 90.00
_cell_angle_beta 90.00
_cell_angle_gamma 90.00
loop_
_atom_site_label
_atom_site_type_symbol
_atom_site_fract_x
_atom_site_fract_y
_atom_site_fract_z
Sr1 Sr 0.000 0.000 0.000
As1 As 0.000 0.500 0.500
Au1 Au 0.500 0.500 0.500
Se1 Se 0.500 0.500 0.000
```

Output
Total DFT energy (no corrections): -3.667 eV per atom
Formation energy from raw total energies: -118 meV/atom
Polymorph energy (0 for the lowest one): 0.0 meV per atom
Crystal system: tetragonal



[7]
Tb4As2AuSe: relaxed, GGA-PBE.

```
data_Tb4As2AuSe
_symmetry_space_group_name_H-M 'P 1 2/m 1'
_symmetry_Int_Tables_number 10
_symmetry_space_group_name_Hall '-P 2y'
_cell_length_a 7.136
_cell_length_b 4.129
_cell_length_c 7.240
_cell_angle_alpha 90.00
_cell_angle_beta 109.04
_cell_angle_gamma 90.00
loop_
_atom_site_label
_atom_site_type_symbol
_atom_site_fract_x
_atom_site_fract_y
_atom_site_fract_z
Tb1 Tb 0.239 0.000 0.249
Tb2 Tb 0.240 0.500 0.743
As1 As 0.000 0.000 0.500
As2 As 0.000 0.500 0.000
Au1 Au 0.500 0.000 0.000
Se1 Se 0.500 0.500 0.500
```

Output
Total DFT energy (no corrections): -5.729 eV per atom
Formation energy from raw total energies: -1406 meV/atom
Crystal system: monoclinic



[8]
Tb6AsAu2Se3: relaxed, GGA-PBE.

```
data_Tb6AsAu2Se3
_symmetry_space_group_name_H-M 'C 1 2/m 1'
_symmetry_Int_Tables_number 12
_symmetry_space_group_name_Hall '-C 2y'
_cell_length_a 18.485
_cell_length_b 4.072
_cell_length_c 8.428
_cell_angle_alpha 90.00
_cell_angle_beta 107.60
_cell_angle_gamma 90.00
loop_
_atom_site_label
_atom_site_type_symbol
_atom_site_fract_x
_atom_site_fract_y
_atom_site_fract_z
Tb1 Tb 0.006 0.000 0.246
Tb2 Tb 0.160 0.500 0.605
Tb3 Tb 0.166 0.500 0.108
As1 As 0.000 0.500 0.000
Au1 Au 0.180 0.000 0.372
Se1 Se 0.000 0.500 0.500
Se2 Se 0.162 0.000 0.855
```

Output
Total DFT energy (no corrections): -5.539 eV per atom
Formation energy from raw total energies: -1419 meV/atom
Crystal system: monoclinic



[9]
Tb4AsAuSe2: relaxed, GGA-PBE.

```
data_Tb4AsAuSe2
_symmetry_space_group_name_H-M 'P 1 2/m 1'
_symmetry_Int_Tables_number 10
_symmetry_space_group_name_Hall '-P 2y'
_cell_length_a 7.185
_cell_length_b 4.082
_cell_length_c 7.229
_cell_angle_alpha 90.00
_cell_angle_beta 108.69
_cell_angle_gamma 90.00
loop_
_atom_site_label
_atom_site_type_symbol
_atom_site_fract_x
_atom_site_fract_y
_atom_site_fract_z
Tb1 Tb 0.243 0.000 0.245
Tb2 Tb 0.247 0.500 0.751
As1 As 0.000 0.500 0.000
Au1 Au 0.500 0.000 0.000
Se1 Se 0.000 0.000 0.500
Se2 Se 0.500 0.500 0.500
```

Output
Total DFT energy (no corrections): -5.650 eV per atom
Formation energy from raw total energies: -1473 meV/atom
Crystal system: monoclinic



[10]
TcAsAuSe2: relaxed, GGA-PBE.

```
data_TcAsAuSe2
_symmetry_space_group_name_H-M 'P 4/m m m'
_symmetry_Int_Tables_number 123
_symmetry_space_group_name_Hall '-P 4 2'
_cell_length_a 4.841
_cell_length_b 4.841
_cell_length_c 4.871
_cell_angle_alpha 90.00
_cell_angle_beta 90.00
_cell_angle_gamma 90.00
loop_
_atom_site_label
_atom_site_type_symbol
_atom_site_fract_x
_atom_site_fract_y
_atom_site_fract_z
Tc1 Tc 0.000 0.000 0.000
As1 As 0.000 0.000 0.500
Au1 Au 0.500 0.500 0.500
Se1 Se 0.000 0.500 0.000
```

Output
Total DFT energy (no corrections): -4.482 eV per atom
Formation energy from raw total energies: 570 meV/atom
Polymorph energy (0 for the lowest one): 0.0 meV per atom
Crystal system: tetragonal



[11]
TcAs2AuSe: relaxed, GGA-PBE.

```
data_TcAs2AuSe
_symmetry_space_group_name_H-M 'P 4/m m m'
_symmetry_Int_Tables_number 123
_symmetry_space_group_name_Hall '-P 4 2'
_cell_length_a 4.807
_cell_length_b 4.807
_cell_length_c 4.872
_cell_angle_alpha 90.00
_cell_angle_beta 90.00
_cell_angle_gamma 90.00
loop_
_atom_site_label
_atom_site_type_symbol
_atom_site_fract_x
_atom_site_fract_y
_atom_site_fract_z
Tc1 Tc 0.000 0.000 0.000
As1 As 0.000 0.500 0.000
Au1 Au 0.500 0.500 0.500
Se1 Se 0.000 0.000 0.500
```

Output
Total DFT energy (no corrections): -4.717 eV per atom
Formation energy from raw total energies: 569 meV/atom
Polymorph energy (0 for the lowest one): 0.0 meV per atom
Crystal system: tetragonal



[12]
Te2AsAuSe: relaxed, GGA-PBE.

```
data_Te2AsAuSe
_symmetry_space_group_name_H-M 'P 4/m m m'
_symmetry_Int_Tables_number 123
_symmetry_space_group_name_Hall '-P 4 2'
_cell_length_a 5.576
_cell_length_b 5.576
_cell_length_c 4.753
_cell_angle_alpha 90.00
_cell_angle_beta 90.00
_cell_angle_gamma 90.00
loop_
_atom_site_label
_atom_site_type_symbol
_atom_site_fract_x
_atom_site_fract_y
_atom_site_fract_z
Te1 Te 0.000 0.500 0.000
As1 As 0.000 0.000 0.000
Au1 Au 0.000 0.000 0.500
Se1 Se 0.500 0.500 0.500
```

Output
Total DFT energy (no corrections): -2.929 eV per atom
Formation energy from raw total energies: 610 meV/atom
Crystal system: tetragonal